CoPtN2F | PBE+U | optimized geometry

a b c (Å): 3.783 3.783 3.657
angles (deg): 90.00 90.00 90.00
Atoms (fractional coordinates):
Co  0.000  0.000  0.000
Pt  0.500  0.500  0.500
N  0.000  0.500  0.000
N  0.500  0.000  0.000
F  0.000  0.000  0.500

Properties
V = 52.33 Å³/cell
space group = P4/mmm, No. 123
energy above the most stable polymorph in this dataset = 0.129 eV per atom
DOS at the Fermi energy = 3.447 states/eV/f.u.